Record 1
This record from Alexandria describes an optimized crystal structure of AlTc2Ni. The functional is PBE.

Output
N(E_F)   0.760 states/eV per atom
Energy relative to the elements   -0.22 eV/atom

POSCAR file:
```
AlTc2Ni
1.0
4.818 -0.009 -0.005
1.964 4.399 0.005
-2.997 -2.804 2.524
Ni Tc Al
1 2 1
direct
0.739 0.239 0.500
0.996 0.996 0.000
0.253 0.753 0.500
0.512 0.512 0.000
```

---

Record 2
This record from Alexandria describes an optimized crystal structure of ErAl7Ag5. The functional is PBE.

Output
N(E_F)   0.291 states/eV per atom
Energy relative to the elements   -0.16 eV/atom

POSCAR file:
```
ErAl7Ag5
1.0
5.107 0.000 2.097
2.595 6.486 0.948
0.089 -0.088 7.049
Er Al Ag
1 7 5
direct
0.997 0.003 0.003
0.642 0.358 0.358
0.347 0.653 0.653
0.996 0.356 0.652
0.996 0.652 0.356
0.279 0.221 0.221
0.506 0.788 0.201
0.506 0.201 0.788
0.503 0.006 0.486
0.005 0.006 0.486
0.503 0.486 0.006
0.005 0.486 0.006
0.716 0.784 0.784
```

---

Record 3
This record from Alexandria describes an optimized crystal structure of Pm8Tl2Ag. The functional is PBE.

Output
ΔE to the lowest computed polymorph   30 meV/atom
N(E_F)   1.094 states/eV per atom
Energy relative to the elements   -0.15 eV/atom

POSCAR file:
```
Pm8Tl2Ag
1.0
-3.678 3.780 -0.277
-0.830 -0.303 6.888
8.775 4.767 -1.101
Pm Tl Ag
8 2 1
direct
0.408 0.530 0.816
0.655 0.985 0.309
0.793 0.688 0.586
0.985 0.230 0.970
0.207 0.312 0.414
0.345 0.015 0.691
0.592 0.470 0.184
0.015 0.770 0.030
0.818 0.248 0.635
0.182 0.752 0.365
0.500 0.000 0.000
```

---

Record 4
This record from Alexandria describes an optimized crystal structure of CaMnSi2. The functional is PBE.

Output
N(E_F)   0.602 states/eV per atom
Uncorrected formation energy   0.13 eV/atom

POSCAR file:
```
CaMnSi2
1.0
-3.780 2.302 1.863
-3.499 -3.038 -1.260
4.015 -1.169 2.360
Ca Mn Si
1 1 2
direct
0.250 0.750 0.500
0.750 0.250 0.500
0.000 0.000 0.000
0.500 0.500 0.000
```

---

Record 5
This record from Alexandria describes an optimized crystal structure of Cs2NaIn9. The functional is PBE.

Output
N(E_F)   0.541 states/eV per atom
Energy relative to the elements   -0.03 eV/atom

POSCAR file:
```
Cs2NaIn9
1.0
-4.436 -1.921 -4.359
0.698 -5.705 -3.056
-6.831 -7.422 5.363
Cs Na In
2 1 9
direct
0.856 0.856 0.433
0.144 0.144 0.567
0.000 0.000 0.000
0.666 0.666 0.002
0.334 0.334 0.998
0.500 0.500 0.500
0.420 0.420 0.237
0.923 0.420 0.237
0.420 0.923 0.237
0.580 0.580 0.763
0.580 0.077 0.763
0.077 0.580 0.763
```

---

Record 6
This record from Alexandria describes an optimized crystal structure of KBPb. The functional is PBE.

Output
ΔE to the lowest computed polymorph   771 meV/atom
N(E_F)   0.077 states/eV per atom
Energy relative to the elements   0.91 eV/atom

POSCAR file:
```
KBPb
1.0
0.000 3.330 3.330
3.330 0.000 3.330
3.330 3.330 0.000
Pb K B
1 1 1
direct
0.750 0.750 0.750
0.250 0.250 0.250
0.000 0.000 0.000
```

---

Record 7
This record from Alexandria describes an optimized crystal structure of Ca2Ac6Os. The functional is PBE.

Output
N(E_F)   1.319 states/eV per atom
Energy relative to the elements   0.00 eV/atom

POSCAR file:
```
Ca2Ac6Os
1.0
-2.454 -0.764 7.843
-6.298 -6.762 -2.631
6.854 -6.955 1.467
Ca Ac Os
4 12 2
direct
0.000 0.294 0.500
0.500 0.206 0.000
0.500 0.794 0.000
0.000 0.706 0.500
0.000 0.801 0.000
0.249 0.500 0.208
0.251 0.000 0.292
0.249 0.500 0.792
0.251 0.000 0.708
0.500 0.699 0.500
0.000 0.199 0.000
0.751 0.500 0.792
0.749 0.000 0.708
0.751 0.500 0.208
0.749 0.000 0.292
0.500 0.301 0.500
0.500 0.000 0.500
0.000 0.500 0.000
```

---

Record 8
This record from Alexandria describes an optimized crystal structure of SrY2Be. The functional is PBE.

Output
N(E_F)   1.085 states/eV per atom
Energy relative to the elements   0.27 eV/atom

POSCAR file:
```
SrY2Be
1.0
-2.582 -6.816 7.693
-1.269 -9.216 5.075
1.138 -7.476 7.424
Y Sr Be
2 1 1
direct
0.973 0.973 0.973
0.527 0.527 0.527
0.750 0.750 0.750
0.250 0.250 0.250
```

---

Record 9
This record from Alexandria describes an optimized crystal structure of Na6TlBi2. The functional is PBE.

Output
N(E_F)   0.467 states/eV per atom
Energy relative to the elements   -0.25 eV/atom

POSCAR file:
```
Na6TlBi2
1.0
5.398 0.000 0.000
2.699 4.675 0.000
2.699 1.558 11.582
Na Tl Bi
6 1 2
direct
0.579 0.579 0.264
0.808 0.808 0.576
0.710 0.710 0.871
0.192 0.192 0.424
0.421 0.421 0.736
0.290 0.290 0.129
0.000 0.000 0.000
0.903 0.903 0.290
0.097 0.097 0.710
```

---

Record 10
This record from Alexandria describes an optimized crystal structure of BaCuSb2. The functional is PBE.

Output
N(E_F)   0.375 states/eV per atom
Uncorrected formation energy   -0.36 eV/atom

POSCAR file:
```
BaCuSb2
1.0
5.948 0.019 -0.022
4.442 3.955 -0.022
1.706 0.652 5.489
Ba Cu Sb
1 1 2
direct
0.505 0.505 0.506
0.310 0.310 0.061
0.964 0.964 0.036
0.721 0.721 0.896
```

---

Record 11
This record from Alexandria describes an optimized crystal structure of Sc4ZnFe. The functional is PBE.

Output
ΔE to the lowest computed polymorph   0 meV/atom
N(E_F)   1.093 states/eV per atom
Energy relative to the elements   -0.18 eV/atom

POSCAR file:
```
Sc4ZnFe
1.0
-0.357 -0.632 -5.577
-1.222 -6.580 1.912
-5.634 3.962 0.999
Sc Zn Fe
8 2 2
direct
0.899 0.632 0.794
0.043 0.936 0.273
0.601 0.206 0.368
0.457 0.727 0.064
0.543 0.273 0.936
0.399 0.794 0.632
0.957 0.064 0.727
0.101 0.368 0.206
0.750 0.628 0.372
0.250 0.372 0.628
0.250 0.998 0.002
0.750 0.002 0.998
```

---

Record 12
This record from Alexandria describes an optimized crystal structure of YReNF2. The functional is PBE.

Output
ΔE to the lowest computed polymorph   0 meV/atom
N(E_F)   0.562 states/eV per atom
Uncorrected formation energy   -0.86 eV/atom

POSCAR file:
```
YReNF2
1.0
4.298 0.000 0.000
0.000 4.298 0.000
0.000 0.000 3.889
Y Re N F
1 1 1 2
direct
0.500 0.500 0.500
0.000 0.000 0.000
0.000 0.000 0.500
0.000 0.500 0.000
0.500 0.000 0.000
```

---

Record 13
This record from Alexandria describes an optimized crystal structure of LiIn7. The functional is PBE.

Output
N(E_F)   0.593 states/eV per atom
Energy relative to the elements   -0.05 eV/atom

POSCAR file:
```
LiIn7
1.0
6.611 0.000 0.000
3.306 5.725 0.000
3.306 1.908 5.398
In Li
7 1
direct
0.500 0.000 0.500
0.000 0.500 0.500
0.000 0.000 0.500
0.000 0.500 0.000
0.500 0.000 0.000
0.500 0.500 0.000
0.500 0.500 0.500
0.000 0.000 0.000
```

---

Record 14
This record from Alexandria describes an optimized crystal structure of Cs2Ho2PbO6. The functional is PBE.

Output
N(E_F)   0.000 states/eV per atom
Uncorrected formation energy   -2.22 eV/atom

POSCAR file:
```
Cs2Ho2PbO6
1.0
6.014 -0.022 0.067
-2.991 5.218 0.067
-1.063 -1.827 7.001
Cs Ho Pb O
2 2 1 6
direct
0.834 0.166 0.000
0.166 0.834 0.000
0.334 0.666 0.500
0.666 0.334 0.500
0.000 0.000 0.500
0.729 0.729 0.658
0.048 0.382 0.659
0.271 0.271 0.342
0.382 0.048 0.659
0.952 0.618 0.341
0.618 0.952 0.341
```

---

Record 15
This record from Alexandria describes an optimized crystal structure of BiPdN2O. The functional is PBE.

Output
N(E_F)   0.686 states/eV per atom
Uncorrected formation energy   1.52 eV/atom

POSCAR file:
```
BiPdN2O
1.0
4.356 0.000 0.000
0.000 4.356 0.000
0.000 0.000 4.223
O Bi Pd N
1 1 1 2
direct
0.000 0.000 0.500
0.000 0.000 0.000
0.500 0.500 0.500
0.000 0.500 0.000
0.500 0.000 0.000
```

---

Record 16
This record from Alexandria describes an optimized crystal structure of SrSm2TlO6. The functional is PBE.

Output
N(E_F)   0.963 states/eV per atom
Uncorrected formation energy   -2.32 eV/atom

POSCAR file:
```
SrSm2TlO6
1.0
6.021 0.000 0.001
3.011 5.214 0.000
3.011 1.738 5.278
Sr Sm Tl O
1 2 1 6
direct
0.799 0.799 0.603
0.525 0.525 0.425
0.020 0.020 0.941
0.310 0.310 0.070
0.614 0.220 0.243
0.220 0.923 0.243
0.923 0.614 0.243
0.384 0.711 0.749
0.711 0.156 0.749
0.156 0.384 0.749
```

---

Record 17
This record from Alexandria describes an optimized crystal structure of Sr2ErPbS4. The functional is PBE.

Output
N(E_F)   0.385 states/eV per atom
Uncorrected formation energy   -1.63 eV/atom

POSCAR file:
```
Sr2ErPbS4
1.0
4.136 0.000 0.000
0.000 7.269 0.152
0.000 -2.516 6.733
Sr Er Pb S
2 1 1 4
direct
0.500 0.000 0.500
0.000 0.500 0.500
0.500 0.500 0.000
0.000 0.000 0.000
0.500 0.263 0.238
0.500 0.737 0.762
0.000 0.270 0.770
0.000 0.730 0.230
```

---

Record 18
This record from Alexandria describes an optimized crystal structure of Er4Zn3Ag. The functional is PBE.

Output
ΔE to the lowest computed polymorph   58 meV/atom
N(E_F)   1.144 states/eV per atom
Energy relative to the elements   -0.29 eV/atom

POSCAR file:
```
Er4Zn3Ag
1.0
3.630 0.000 0.000
0.000 4.543 0.000
0.000 0.000 11.197
Er Zn Ag
4 3 1
direct
0.500 0.500 0.352
0.000 0.500 0.846
0.000 0.000 0.153
0.500 0.000 0.652
0.000 0.500 0.572
0.000 0.000 0.429
0.500 0.000 0.924
0.500 0.500 0.073
```

---

Record 19
This record from Alexandria describes an optimized crystal structure of SrGdIrPd. The functional is PBE.

Output
N(E_F)   0.342 states/eV per atom
Energy relative to the elements   -0.51 eV/atom

POSCAR file:
```
SrGdIrPd
1.0
5.039 0.000 0.000
2.520 4.364 0.000
2.520 1.455 4.114
Gd Sr Ir Pd
1 1 1 1
direct
0.250 0.250 0.250
0.750 0.750 0.750
0.500 0.500 0.500
0.000 0.000 0.000
```

---

Record 20
This record from Alexandria describes an optimized crystal structure of K2ScCd. The functional is PBE.

Output
N(E_F)   1.286 states/eV per atom
Energy relative to the elements   0.54 eV/atom

POSCAR file:
```
K2ScCd
1.0
-4.281 -8.518 -4.317
5.378 1.759 -8.804
2.871 -5.092 -5.484
Sc K Cd
2 4 2
direct
0.500 0.500 0.000
0.250 0.750 0.500
0.689 0.125 0.250
0.061 0.625 0.250
0.375 0.311 0.750
0.875 0.939 0.750
0.000 0.000 0.000
0.750 0.250 0.500
```

---

Record 21
This record from Alexandria describes an optimized crystal structure of NaLaInH2. The functional is PBE.

Output
Total DFT energy (no corrections)   -2.5862 eV per atom
N(E_F)   0.576 states/eV per atom

POSCAR file:
```
NaLaInH2
1.0
-2.134 -3.669 -1.072
-1.274 -0.809 5.306
-3.686 2.300 -0.534
Na In H La
1 1 2 1
direct
0.000 0.500 0.000
0.000 0.000 0.000
0.000 0.000 0.500
0.500 0.000 0.000
0.500 0.500 0.500
```

---

Record 22
This record from Alexandria describes an optimized crystal structure of Pu2SbN. The functional is PBE.

Output
ΔE to the lowest computed polymorph   0 meV/atom
N(E_F)   3.117 states/eV per atom
Uncorrected formation energy   -0.97 eV/atom

POSCAR file:
```
Pu2SbN
1.0
4.689 0.000 0.000
0.000 4.251 -1.071
0.000 -0.081 8.652
Pu Sb N
4 2 2
direct
0.250 0.254 0.508
0.750 0.746 0.492
0.750 0.427 0.854
0.250 0.573 0.146
0.250 0.907 0.815
0.750 0.093 0.185
0.750 0.299 0.598
0.250 0.701 0.402
```

---

Record 23
This record from Alexandria describes an optimized crystal structure of CuSn3Au. The functional is PBE.

Output
ΔE to the lowest computed polymorph   344 meV/atom
N(E_F)   0.359 states/eV per atom
Energy relative to the elements   0.31 eV/atom

POSCAR file:
```
CuSn3Au
1.0
5.053 0.000 0.000
0.000 5.053 0.000
0.000 0.000 5.053
Au Sn Cu
1 3 1
direct
0.500 0.500 0.500
0.000 0.500 0.000
0.000 0.000 0.500
0.500 0.000 0.000
0.000 0.000 0.000
```

---

Record 24
This record from Alexandria describes an optimized crystal structure of CdAsAu. The functional is PBE.

Output
N(E_F)   0.515 states/eV per atom
Energy relative to the elements   0.12 eV/atom

POSCAR file:
```
CdAsAu
1.0
-6.249 0.990 2.368
-4.916 -0.625 4.598
0.297 2.535 1.686
As Au Cd
1 1 1
direct
0.009 0.009 0.991
0.665 0.665 0.335
0.326 0.326 0.674
```

---

Record 25
This record from Alexandria describes an optimized crystal structure of Ni2AgMo. The functional is PBE.

Output
ΔE to the lowest computed polymorph   257 meV/atom
N(E_F)   0.870 states/eV per atom
Energy relative to the elements   0.35 eV/atom

POSCAR file:
```
Ni2AgMo
1.0
-2.472 -1.785 3.692
2.315 -3.420 2.424
1.112 4.412 -1.491
Ag Mo Ni
1 1 2
direct
0.500 0.500 0.000
0.750 0.250 0.500
0.000 0.000 0.000
0.250 0.750 0.500
```